[1]
VASP calculation (SCAN) on CaLa3Ru at its PBEsol-relaxed geometry.

abc: 5.5523 5.5523 5.5523
angles: 90.00 90.00 90.00
With the nearest neighbours (Å) after each atom.
Atoms (fractional coordinates):
Ca1 0.0000 0.0000 0.0000  12 La 3.93
La1 0.0000 0.5000 0.5000  2 Ru 2.78
La2 0.5000 0.0000 0.5000  2 Ru 2.78
La3 0.5000 0.5000 0.0000  2 Ru 2.78
Ru1 0.5000 0.5000 0.5000  6 La 2.78

SG	Pm-3m (221)
energy relative to the elements	-0.2010	eV/atom

---

[2]
VASP calculation (SCAN) on YTlSb2I at its PBEsol-relaxed geometry.

abc: 5.7573 5.7573 5.9135
angles: 90.00 90.00 90.00
With the nearest neighbours (Å) after each atom.
Atoms (fractional coordinates):
Y1 0.0000 0.0000 0.0000  4 Sb 2.88, 2 I 2.96
Tl1 0.5000 0.5000 0.5000  4 I 4.07, 8 Sb 4.13
Sb1 0.0000 0.5000 0.0000  2 Y 2.88
Sb2 0.5000 0.0000 0.0000  2 Y 2.88
I1 0.0000 0.0000 0.5000  2 Y 2.96

SG	P4/mmm (123)
energy relative to the elements, uncorrected	-14	kJ/mol of atoms
ΔE to the lowest computed polymorph	0.000	eV/atom

---

[3]
VASP calculation (SCAN) on LiInHg2 at its PBEsol-relaxed geometry.

abc: 4.5309 4.5309 4.0788
angles: 90.00 90.00 90.07
With the nearest neighbours (Å) after each atom.
Atoms (fractional coordinates):
Li1 0.0000 0.0000 0.0000  8 Hg 3.05, 4 In 3.20-3.21
In1 0.5000 0.5000 0.0000  8 Hg 3.05, 4 Li 3.20-3.21
Hg1 0.0000 0.5000 0.5000  4 In 3.05, 4 Li 3.05, 4 Hg 3.20-3.21
Hg2 0.5000 0.0000 0.5000  4 In 3.05, 4 Li 3.05, 4 Hg 3.20-3.21

SG	Cmmm (65)
energy relative to the elements	-0.2202	eV/atom

---

[4]
VASP calculation (SCAN) on K4CuHg at its PBEsol-relaxed geometry.

abc: 7.3430 7.3430 7.3430
angles: 60.00 60.00 60.00
With the nearest neighbours (Å) after each atom.
Atoms (fractional coordinates):
K1 0.3756 0.3756 0.3756  6 K 3.65-3.69
K2 0.3756 0.3756 0.8731  6 K 3.65-3.69
K3 0.3756 0.8731 0.3756  6 K 3.65-3.69
K4 0.8731 0.3756 0.3756  6 K 3.65-3.69
Cu1 0.7500 0.7500 0.7500  12 K 4.30, 4 Hg 4.50
Hg1 0.0000 0.0000 0.0000  12 K 4.31, 4 Cu 4.50

SG	F-43m (216)
energy relative to the elements	0.4957	eV/atom

---

[5]
VASP calculation (SCAN) on KCoSb2 at its PBEsol-relaxed geometry.

abc: 3.4863 3.4863 8.5532
angles: 90.00 90.00 90.00
With the nearest neighbours (Å) after each atom.
Atoms (fractional coordinates):
K1 0.0000 0.0000 0.0000  5 Sb 3.33-3.50, 4 K 3.49
Co1 0.5000 0.5000 0.5769  5 Sb 2.45-2.48
Sb1 0.0000 0.0000 0.6108  4 Co 2.48
Sb2 0.5000 0.5000 0.2900  1 Co 2.45

SG	P4mm (99)
energy relative to the elements, uncorrected	13	kJ/mol of atoms

---

[6]
VASP calculation (SCAN) on K2Rb2Cd at its PBEsol-relaxed geometry.

abc: 9.3294 9.3294 7.2014
angles: 90.00 90.00 90.00
With the nearest neighbours (Å) after each atom.
Atoms (fractional coordinates):
K1 0.1553 0.3447 0.0000  2 Cd 3.53
K2 0.3447 0.8447 0.0000  2 Cd 3.53
K3 0.6553 0.1553 0.0000  2 Cd 3.53
K4 0.8447 0.6553 0.0000  2 Cd 3.53
Rb1 0.1826 0.6826 0.5000  2 K 4.19
Rb2 0.3174 0.1826 0.5000  2 K 4.19
Rb3 0.6826 0.8174 0.5000  2 K 4.19
Rb4 0.8174 0.3174 0.5000  2 K 4.19
Cd1 0.0000 0.0000 0.0000  4 K 3.53
Cd2 0.5000 0.5000 0.0000  4 K 3.53

SG	P4/mbm (127)
energy relative to the elements	0.0747	eV/atom

---

[7]
VASP calculation (SCAN) on BeOsAu2 at its PBEsol-relaxed geometry.

abc: 4.6367 4.6367 4.6367
angles: 129.55 129.55 74.12
With the nearest neighbours (Å) after each atom.
Atoms (fractional coordinates):
Be1 0.0000 0.0000 0.0000  4 Os 2.71, 8 Au 2.71-2.79
Os1 0.7500 0.2500 0.5000  8 Au 2.71-2.79, 4 Be 2.71
Au1 0.2500 0.7500 0.5000  4 Au 2.71, 4 Be 2.71, 4 Os 2.79
Au2 0.5000 0.5000 0.0000  4 Au 2.71, 4 Os 2.71, 4 Be 2.79

SG	I-4m2 (119)
energy relative to the elements	0.5334	eV/atom

---

[8]
VASP calculation (SCAN) on Sb16Cl4O21 at its PBEsol-relaxed geometry.

abc: 8.1990 9.6409 10.0173
angles: 70.24 88.27 78.58
With the nearest neighbours (Å) after each atom.
Atoms (fractional coordinates):
Sb1 0.0000 0.0000 0.0000  2 O 2.02-2.09
Sb2 0.0028 0.6735 0.9482  4 O 2.02-2.21
Sb3 0.0997 0.2857 0.1304  3 O 2.00-2.21
Sb4 0.1095 0.2136 0.5907  3 O 1.95-2.14
Sb5 0.2203 0.8832 0.2521  3 O 2.04-2.25
Sb6 0.2335 0.8267 0.6653  4 O 2.01-2.17
Sb7 0.3339 0.4897 0.3348  3 O 1.95-2.16
Sb8 0.3472 0.4111 0.8035  3 O 2.06-2.23
Sb9 0.4725 0.0353 0.9574  3 O 1.99-2.13
Sb10 0.5070 0.6777 0.9453  4 O 2.01-2.21
Sb11 0.5278 0.2942 0.1421  4 O 2.04-2.29
Sb12 0.6638 0.2042 0.6118  3 O 1.96-2.10
Sb13 0.7059 0.8790 0.2537  4 O 2.00-2.19
Sb14 0.7368 0.8179 0.6637  4 O 2.01-2.15
Sb15 0.7863 0.4875 0.3204  3 O 1.95-2.13
Sb16 0.9193 0.3928 0.7953  4 O 2.04-2.26
Cl1 0.0044 0.5905 0.4886  4 Sb 3.01-3.36, 2 O 3.21-3.32
Cl2 0.4316 0.1028 0.4450  3 Sb 3.07-3.15, 4 O 3.24-3.41
Cl3 0.5170 0.5943 0.4942  2 Sb 2.77-3.01
Cl4 0.9230 0.0952 0.4402  2 Sb 2.81-2.95
O1 0.0861 0.4570 0.9304  3 Sb 2.11-2.26
O2 0.1559 0.2988 0.7542  3 Sb 2.06-2.23
O3 0.1884 0.0103 0.7232  2 Sb 1.95-2.01
O4 0.2572 0.6952 0.8755  3 Sb 2.05-2.21
O5 0.2668 0.6925 0.1990  2 Sb 1.95-2.04
O6 0.2926 0.3979 0.1723  3 Sb 2.05-2.21
O7 0.3635 0.2368 0.9960  3 Sb 2.07-2.29
O8 0.4485 0.9315 0.1718  3 Sb 2.06-2.19
O9 0.4929 0.7813 0.7335  3 Sb 2.01-2.17
O10 0.5297 0.2446 0.7746  2 Sb 2.04-2.06
O11 0.5324 0.4579 0.9498  2 Sb 2.04-2.07
O12 0.5648 0.4506 0.2448  3 Sb 2.09-2.16
O13 0.6938 0.0207 0.0438  2 Sb 1.99-2.08
O14 0.6958 0.9928 0.7350  2 Sb 1.96-2.01
O15 0.7367 0.6969 0.1950  2 Sb 1.95-2.00
O16 0.7638 0.6684 0.8700  3 Sb 2.07-2.21
O17 0.8836 0.2353 0.6906  3 Sb 2.09-2.18
O18 0.9187 0.4435 0.1617  2 Sb 2.00-2.01
O19 0.9364 0.2253 0.9882  3 Sb 2.04-2.27
O20 0.9487 0.8999 0.2044  3 Sb 2.02-2.25
O21 0.9922 0.7783 0.7353  3 Sb 2.02-2.16

SG	P1 (1)
energy relative to the elements, uncorrected	-123	kJ/mol of atoms

---

These records have calculated volume values of 34.23; 39.20; 20.93; 46.66; 25.99; 62.68; 14.45; 17.80 A^3/atom, in the order they appear.
These records have M_tot values of 0.02; 0.94; 0.00; 0.00; 0.00; 0.00; 0.01; 0.00 μB/f.u., in the order they appear.